# HfScBe2

Crystalline HfScBe2 at its relaxed geometry (PBE-GGA, OQMD via LeMat-Bulk).

Computed properties:
* total DFT energy (no corrections): -5.361 eV/atom

a b c (Å): 6.350 6.350 6.350
angles (deg): 90.00 90.00 90.00
Sites, in units of the cell vectors:
1 Hf 0.000 0.000 0.000
2 Hf 0.000 0.500 0.500
3 Hf 0.500 0.000 0.500
4 Hf 0.500 0.500 0.000
5 Sc 0.250 0.250 0.250
6 Sc 0.250 0.750 0.750
7 Sc 0.750 0.250 0.750
8 Sc 0.750 0.750 0.250
9 Be 0.000 0.000 0.500
10 Be 0.000 0.500 0.000
11 Be 0.250 0.250 0.750
12 Be 0.250 0.750 0.250
13 Be 0.500 0.000 0.000
14 Be 0.500 0.500 0.500
15 Be 0.750 0.250 0.250
16 Be 0.750 0.750 0.750